1.
A geometry-optimized Tl2IrW structure, computed with PBE.

Computed properties:
**Energy of formation from the pure elements**: 1018 meV/atom
**VASP energy**: -0.4130 Ry per atom

a = 4.1858 Å, b = 4.1858 Å, c = 8.7258 Å
α = 90.00°, β = 90.00°, γ = 90.00°
Space group I-4m2 (No. 119)
Asymmetric unit:
Tl: 0.0000 0.0000 0.0000 [2 per cell]
Tl: 0.0000 0.5000 0.2500 [2 per cell]
Ir: 0.0000 0.0000 0.5000 [2 per cell]
W: 0.0000 0.5000 0.7500 [2 per cell]

2.
A geometry-optimized Zn2FeRh structure, computed with PBE.

Computed properties:
**Energy of formation from the pure elements**: -109 meV/atom
**VASP energy**: -0.3454 Ry per atom

a = 3.0968 Å, b = 4.2156 Å, c = 8.3697 Å
α = 90.00°, β = 90.00°, γ = 90.00°
Space group Immm (No. 71)
Asymmetric unit:
Zn: 0.0000 0.0000 0.2463 [4 per cell]
Fe: 0.0000 0.5000 0.5000 [2 per cell]
Rh: 0.0000 0.5000 0.0000 [2 per cell]